A plane-wave DFT calculation with PBE was carried out for crystalline InHg3Pb3 at its relaxed geometry.

Values from the calculation:
* offset from the most stable computed form: 31 meV/atom
* formation energy from the elements: 0.0607 eV/atom
* calculated volume: 29.30 Å³/atom
* D(E_F): 0.547 states/eV per atom

```
data_InHg3Pb3
_cell_length_a 9.7918
_cell_length_b 9.7918
_cell_length_c 7.4096
_cell_angle_alpha 90.00
_cell_angle_beta 90.00
_cell_angle_gamma 120.00
_symmetry_space_group_name_H-M 'R 3 m'
_symmetry_Int_Tables_number 160
_symmetry_space_group_name_Hall 'R 3 -2"'
loop_
_atom_site_label
_atom_site_type_symbol
_atom_site_fract_x
_atom_site_fract_y
_atom_site_fract_z
In1 In 0.0000 0.0000 0.0000
Hg1 Hg 0.1812 0.3625 0.8737
Pb1 Pb 0.2096 0.4192 0.2978
```

=====

A plane-wave DFT calculation with PBE was carried out for crystalline In2Hg6Pb5 at its relaxed geometry.

Values from the calculation:
* formation energy from the elements: 0.0300 eV/atom
* calculated volume: 28.86 Å³/atom
* D(E_F): 0.394 states/eV per atom

```
data_In2Hg6Pb5
_cell_length_a 5.9343
_cell_length_b 6.6440
_cell_length_c 9.5346
_cell_angle_alpha 93.56
_cell_angle_beta 90.67
_cell_angle_gamma 90.51
_symmetry_space_group_name_H-M 'P -1'
_symmetry_Int_Tables_number 2
_symmetry_space_group_name_Hall '-P 1'
loop_
_atom_site_label
_atom_site_type_symbol
_atom_site_fract_x
_atom_site_fract_y
_atom_site_fract_z
In1 In 0.1239 0.2486 0.3052
Hg1 Hg 0.0243 0.1881 0.6600
Hg2 Hg 0.0722 0.2672 0.9841
Hg3 Hg 0.2836 0.5574 0.5626
Pb1 Pb 0.3910 0.8628 0.8533
Pb2 Pb 0.4315 0.6425 0.1693
Pb3 Pb 0.5000 0.0000 0.5000
```

=====

A plane-wave DFT calculation with PBE was carried out for crystalline In2HgPb at its relaxed geometry.

Values from the calculation:
* formation energy from the elements: 0.0239 eV/atom
* calculated volume: 28.31 Å³/atom
* D(E_F): 0.367 states/eV per atom

```
data_In2HgPb
_cell_length_a 3.6103
_cell_length_b 3.6103
_cell_length_c 30.0972
_cell_angle_alpha 90.00
_cell_angle_beta 90.00
_cell_angle_gamma 120.00
_symmetry_space_group_name_H-M 'R 3 m'
_symmetry_Int_Tables_number 160
_symmetry_space_group_name_Hall 'R 3 -2"'
loop_
_atom_site_label
_atom_site_type_symbol
_atom_site_fract_x
_atom_site_fract_y
_atom_site_fract_z
In1 In 0.0000 0.0000 0.0000
In2 In 0.0000 0.0000 0.1770
Hg1 Hg 0.0000 0.0000 0.5880
Pb1 Pb 0.0000 0.0000 0.4219
```

=====

A plane-wave DFT calculation with PBE was carried out for crystalline In3Hg8Pb3 at its relaxed geometry.

Values from the calculation:
* formation energy from the elements: 0.0574 eV/atom
* calculated volume: 27.97 Å³/atom
* D(E_F): 0.412 states/eV per atom

```
data_In3Hg8Pb3
_cell_length_a 5.3427
_cell_length_b 11.4731
_cell_length_c 12.7759
_cell_angle_alpha 90.00
_cell_angle_beta 90.00
_cell_angle_gamma 90.00
_symmetry_space_group_name_H-M 'I m m m'
_symmetry_Int_Tables_number 71
_symmetry_space_group_name_Hall '-I 2 2'
loop_
_atom_site_label
_atom_site_type_symbol
_atom_site_fract_x
_atom_site_fract_y
_atom_site_fract_z
In1 In 0.0000 0.0000 0.0000
In2 In 0.0000 0.3457 0.5000
Hg1 Hg 0.0000 0.1296 0.3618
Hg2 Hg 0.0000 0.2287 0.1399
Pb1 Pb 0.0000 0.5000 0.0000
Pb2 Pb 0.0000 0.5000 0.2701
```

=====

A plane-wave DFT calculation with PBE was carried out for crystalline In6Hg10Pb at its relaxed geometry.

Values from the calculation:
* formation energy from the elements: 0.0235 eV/atom
* calculated volume: 27.30 Å³/atom
* D(E_F): 0.294 states/eV per atom

```
data_In6Hg10Pb
_cell_length_a 8.9429
_cell_length_b 8.9429
_cell_length_c 6.6999
_cell_angle_alpha 90.00
_cell_angle_beta 90.00
_cell_angle_gamma 120.00
_symmetry_space_group_name_H-M 'P -3 1 m'
_symmetry_Int_Tables_number 162
_symmetry_space_group_name_Hall '-P 3 2'
loop_
_atom_site_label
_atom_site_type_symbol
_atom_site_fract_x
_atom_site_fract_y
_atom_site_fract_z
In1 In 0.0000 0.3679 0.3004
Hg1 Hg 0.0000 0.2863 0.8312
Hg2 Hg 0.3333 0.6667 0.0000
Hg3 Hg 0.3333 0.6667 0.5000
Pb1 Pb 0.0000 0.0000 0.5000
```

=====

A plane-wave DFT calculation with PBE was carried out for crystalline In6Hg3Pb2 at its relaxed geometry.

Values from the calculation:
* offset from the most stable computed form: 7 meV/atom
* formation energy from the elements: 0.0186 eV/atom
* calculated volume: 27.69 Å³/atom
* D(E_F): 0.549 states/eV per atom

```
data_In6Hg3Pb2
_cell_length_a 5.3945
_cell_length_b 5.3945
_cell_length_c 36.2630
_cell_angle_alpha 90.00
_cell_angle_beta 90.00
_cell_angle_gamma 120.00
_symmetry_space_group_name_H-M 'R -3 m'
_symmetry_Int_Tables_number 166
_symmetry_space_group_name_Hall '-R 3 2"'
loop_
_atom_site_label
_atom_site_type_symbol
_atom_site_fract_x
_atom_site_fract_y
_atom_site_fract_z
In1 In 0.0000 0.0000 0.0857
In2 In 0.0000 0.0000 0.1784
In3 In 0.0000 0.0000 0.3593
Hg1 Hg 0.0000 0.0000 0.0000
Hg2 Hg 0.0000 0.0000 0.2685
Pb1 Pb 0.0000 0.0000 0.4526
```

=====

Question: Which formula does entry 4 have?
Answer: In3Hg8Pb3